1.
Below is a geometry-optimized SiAgP2 structure, with properties calculated at the GGA-PBEsol level.

Computed properties:
space group	I4/mmm
DFT total energy	-4.674	eV/atom
ΔE_f (raw)	0.487	eV/atom

Lattice parameters (Å, degrees): 4.7280 4.7280 5.5013 90.00 90.00 90.00
Closest atoms and distances in Å follow each position.
Fractional coordinates of all 8 atoms:
Si 0.0000 0.0000 0.0000  8 P 2.73, 2 Ag 2.75
Si 0.5000 0.5000 0.5000  8 P 2.73, 2 Ag 2.75
Ag 0.0000 0.0000 0.5000  8 P 2.73, 2 Si 2.75
Ag 0.5000 0.5000 0.0000  8 P 2.73, 2 Si 2.75
P 0.0000 0.5000 0.2500  4 Si 2.73, 4 Ag 2.73, 2 P 2.75
P 0.0000 0.5000 0.7500  4 Si 2.73, 4 Ag 2.73, 2 P 2.75
P 0.5000 0.0000 0.2500  4 Si 2.73, 4 Ag 2.73, 2 P 2.75
P 0.5000 0.0000 0.7500  4 Si 2.73, 4 Ag 2.73, 2 P 2.75



2.
Below is a geometry-optimized KNaSmTaO5 structure, with properties calculated at the GGA-PBEsol level.

Computed properties:
space group	P4/nmm
DFT total energy	-7.907	eV/atom
ΔE_f (raw)	-2.749	eV/atom

Lattice parameters (Å, degrees): 5.6701 5.6701 8.2395 90.00 90.00 90.00
Closest atoms and distances in Å follow each position.
Fractional coordinates of all 18 atoms:
K 0.2500 0.7500 0.0000  4 O 2.85
K 0.7500 0.2500 0.0000  4 O 2.85
Na 0.2500 0.2500 0.2412  5 O 2.28
Na 0.7500 0.7500 0.7588  5 O 2.28
Sm 0.2500 0.7500 0.5000  8 O 2.44
Sm 0.7500 0.2500 0.5000  8 O 2.44
Ta 0.2500 0.2500 0.7392  5 O 1.85-1.95
Ta 0.7500 0.7500 0.2608  5 O 1.85-1.95
O 0.0179 0.0179 0.6673  1 Ta 1.95
O 0.0179 0.4821 0.6673  1 Ta 1.95
O 0.2500 0.2500 0.9643  1 Ta 1.85
O 0.4821 0.0179 0.6673  1 Ta 1.95
O 0.4821 0.4821 0.6673  1 Ta 1.95
O 0.5179 0.5179 0.3327  1 Ta 1.95
O 0.5179 0.9821 0.3327  1 Ta 1.95
O 0.7500 0.7500 0.0357  1 Ta 1.85
O 0.9821 0.5179 0.3327  1 Ta 1.95
O 0.9821 0.9821 0.3327  1 Ta 1.95



3.
Below is a geometry-optimized Li2CdCo structure, with properties calculated at the GGA-PBEsol level.

Computed properties:
space group	I-42d
DFT total energy	-2.831	eV/atom
formation energy from the elements	0.385	eV/atom

Lattice parameters (Å, degrees): 6.8402 6.8402 5.1712 90.00 90.00 90.00
Closest atoms and distances in Å follow each position.
Fractional coordinates of all 16 atoms:
Li 0.2284 0.2500 0.1250  2 Co 2.40, 2 Li 2.60, 2 Cd 2.61
Li 0.2500 0.7284 0.3750  2 Co 2.40, 2 Li 2.60, 2 Cd 2.61
Li 0.2500 0.7716 0.8750  2 Co 2.40, 2 Li 2.60, 2 Cd 2.61
Li 0.2716 0.2500 0.6250  2 Co 2.40, 2 Li 2.60, 2 Cd 2.61
Li 0.7284 0.7500 0.6250  2 Co 2.40, 2 Li 2.60, 2 Cd 2.61
Li 0.7500 0.2284 0.8750  2 Co 2.40, 2 Li 2.60, 2 Cd 2.61
Li 0.7500 0.2716 0.3750  2 Co 2.40, 2 Li 2.60, 2 Cd 2.61
Li 0.7716 0.7500 0.1250  2 Co 2.40, 2 Li 2.60, 2 Cd 2.61
Cd 0.0000 0.0000 0.5000  2 Co 2.59, 4 Li 2.61
Cd 0.0000 0.5000 0.7500  2 Co 2.59, 4 Li 2.61
Cd 0.5000 0.0000 0.2500  2 Co 2.59, 4 Li 2.61
Cd 0.5000 0.5000 0.0000  2 Co 2.59, 4 Li 2.61
Co 0.0000 0.0000 0.0000  4 Li 2.40, 2 Cd 2.59
Co 0.0000 0.5000 0.2500  4 Li 2.40, 2 Cd 2.59
Co 0.5000 0.0000 0.7500  4 Li 2.40, 2 Cd 2.59
Co 0.5000 0.5000 0.5000  4 Li 2.40, 2 Cd 2.59



4.
Below is a geometry-optimized MgInPb2 structure, with properties calculated at the GGA-PBEsol level.

Computed properties:
space group	I-4m2
DFT total energy	-3.198	eV/atom
formation energy from the elements	-0.024	eV/atom

Lattice parameters (Å, degrees): 4.6732 4.6732 9.7992 90.00 90.00 90.00
Closest atoms and distances in Å follow each position.
Fractional coordinates of all 8 atoms:
Mg 0.0000 0.0000 0.0000  8 Pb 3.30-3.39, 4 In 3.39
Mg 0.5000 0.5000 0.5000  8 Pb 3.30-3.39, 4 In 3.39
In 0.0000 0.5000 0.7500  8 Pb 3.30-3.39, 4 Mg 3.39
In 0.5000 0.0000 0.2500  8 Pb 3.30-3.39, 4 Mg 3.39
Pb 0.0000 0.0000 0.5000  4 Mg 3.30, 4 In 3.39, 4 Pb 3.39
Pb 0.0000 0.5000 0.2500  4 In 3.30, 4 Pb 3.39, 4 Mg 3.39
Pb 0.5000 0.0000 0.7500  4 In 3.30, 4 Pb 3.39, 4 Mg 3.39
Pb 0.5000 0.5000 0.0000  4 Mg 3.30, 4 In 3.39, 4 Pb 3.39



5.
Below is a geometry-optimized LiNbTlCr2 structure, with properties calculated at the GGA-PBEsol level.

Computed properties:
space group	P4/mmm
DFT total energy	-5.921	eV/atom
formation energy from the elements	1.259	eV/atom

Lattice parameters (Å, degrees): 4.2755 4.2755 4.3830 90.00 90.00 90.00
Closest atoms and distances in Å follow each position.
Fractional coordinates of all 5 atoms:
Li 0.0000 0.0000 0.0000  4 Cr 2.14, 2 Nb 2.19
Nb 0.0000 0.0000 0.5000  2 Li 2.19
Tl 0.5000 0.5000 0.5000  4 Nb 3.02, 8 Cr 3.06
Cr 0.0000 0.5000 0.0000  2 Li 2.14
Cr 0.5000 0.0000 0.0000  2 Li 2.14



6.
Below is a geometry-optimized SnP2SCl structure, with properties calculated at the GGA-PBEsol level.

Computed properties:
space group	P4/mmm
DFT total energy	-3.518	eV/atom
ΔE_f (raw)	0.929	eV/atom

Lattice parameters (Å, degrees): 4.6732 4.6732 4.5577 90.00 90.00 90.00
Closest atoms and distances in Å follow each position.
Fractional coordinates of all 5 atoms:
Sn 0.0000 0.0000 0.0000  8 P 3.26, 4 S 3.30
P 0.0000 0.5000 0.5000  2 Cl 2.34
P 0.5000 0.0000 0.5000  2 Cl 2.34
S 0.5000 0.5000 0.0000  2 Cl 2.28
Cl 0.5000 0.5000 0.5000  2 S 2.28, 4 P 2.34



7.
Below is a geometry-optimized RbCuS2Cl structure, with properties calculated at the GGA-PBEsol level.

Computed properties:
space group	P4/mmm
DFT total energy	-2.014	eV/atom
ΔE_f (raw)	1.213	eV/atom

Lattice parameters (Å, degrees): 5.8159 5.8159 5.7771 90.00 90.00 90.00
Closest atoms and distances in Å follow each position.
Fractional coordinates of all 5 atoms:
Rb 0.0000 0.0000 0.0000  2 Cl 2.89, 4 S 2.91
Cu 0.5000 0.5000 0.5000  8 S 4.10, 4 Cl 4.11
S 0.0000 0.5000 0.0000  2 Rb 2.91
S 0.5000 0.0000 0.0000  2 Rb 2.91
Cl 0.0000 0.0000 0.5000  2 Rb 2.89



8.
Below is a geometry-optimized K2BaFe structure, with properties calculated at the GGA-PBEsol level.

Computed properties:
space group	P4/mmm
DFT total energy	-2.494	eV/atom
formation energy from the elements	0.851	eV/atom
polymorph energy (0 for the lowest one)	167	meV per atom

Lattice parameters (Å, degrees): 5.0082 5.0082 6.5650 90.00 90.00 90.00
Closest atoms and distances in Å follow each position.
Fractional coordinates of all 4 atoms:
K 0.0000 0.5000 0.0000  4 K 3.54
K 0.5000 0.0000 0.0000  4 K 3.54
Ba 0.0000 0.0000 0.5000  4 Fe 3.54
Fe 0.5000 0.5000 0.5000  4 Ba 3.54